Material: AlZn7
Method: DFT, GGA-PBEsol
State: relaxed

Properties
total magnetic moment: 0.00 μB/cell
N(E_F): 0.42 states/eV/atom
E: -1.871 eV/atom
energy relative to the elements: 25 meV/atom
theoretical density: 6.9 g cm⁻³

Cell and atoms, written as CIF:
```
data_AlZn7
_chemical_formula_sum 'Al4 Zn28'
_space_group_name_H-M_alt 'F m -3 m'
_space_group_IT_number 225
_space_group_name_Hall '-F 4 2 3'
_cell_length_a 7.7395
_cell_length_b 7.7395
_cell_length_c 7.7395
_cell_angle_alpha 90.00
_cell_angle_beta 90.00
_cell_angle_gamma 90.00
loop_
_atom_site_label
_atom_site_type_symbol
_atom_site_fract_x
_atom_site_fract_y
_atom_site_fract_z
Al1 Al 0.0000 0.0000 0.0000
Zn1 Zn 0.0000 0.0000 0.5000
Zn2 Zn 0.0000 0.2500 0.2500
```

Material: ScAu2
Method: DFT, GGA-PBEsol
State: relaxed

Properties
total magnetic moment: 0.00 μB/cell
N(E_F): 0.83 states/eV/atom
E: -5.144 eV/atom
energy relative to the elements: -326 meV/atom
theoretical density: 11.6 g cm⁻³

Cell and atoms, written as CIF:
```
data_ScAu2
_chemical_formula_sum 'Sc1 Au2'
_space_group_name_H-M_alt 'P 4/m m m'
_space_group_IT_number 123
_space_group_name_Hall '-P 4 2'
_cell_length_a 3.9065
_cell_length_b 3.9065
_cell_length_c 4.1112
_cell_angle_alpha 90.00
_cell_angle_beta 90.00
_cell_angle_gamma 90.00
loop_
_atom_site_label
_atom_site_type_symbol
_atom_site_fract_x
_atom_site_fract_y
_atom_site_fract_z
Sc1 Sc 0.0000 0.0000 0.0000
Au1 Au 0.0000 0.5000 0.5000
```